# 1
! Pm12SmTm7 | Alexandria | PBE | relaxed; values from VASP
&SYSTEM
  ibrav = 0, nat = 20, ntyp = 3
/
ATOMIC_SPECIES
Pm 145.00 Pm.upf
Tm 168.93 Tm.upf
Sm 150.36 Sm.upf
ATOMIC_POSITIONS angstrom
Pm 4.428 4.048 6.239
Pm -1.278 5.742 -1.117
Pm 4.636 3.463 1.080
Pm 1.488 6.333 -4.032
Pm 0.546 9.783 1.579
Pm 0.134 1.700 5.747
Pm -1.485 6.326 4.042
Pm 3.016 8.090 -0.625
Pm 1.279 5.748 1.121
Pm 2.604 0.006 3.543
Pm 1.663 3.457 9.154
Pm 1.871 4.041 4.002
Tm 4.764 2.387 9.146
Tm -2.182 9.784 3.402
Tm 1.616 7.396 4.034
Tm 1.535 2.393 1.088
Tm -1.614 7.402 -4.024
Tm 5.332 0.006 1.721
Tm 3.017 0.000 -0.621
Sm 0.000 0.000 0.000
CELL_PARAMETERS angstrom
6.033 0.000 -1.242
-3.151 9.790 -5.122
0.268 0.000 11.486
! - density (Mg/m³) = 7.49
! - energy of formation (meV/atom) = 258
! - relative energy among the computed polymorphs (eV per formula unit) = 3.13
! - final energy (Ha/atom) = -0.1615



# 2
! Pm2SmTm | Alexandria | PBE | relaxed; values from VASP
&SYSTEM
  ibrav = 0, nat = 4, ntyp = 3
/
ATOMIC_SPECIES
Pm 145.00 Pm.upf
Sm 150.36 Sm.upf
Tm 168.93 Tm.upf
ATOMIC_POSITIONS angstrom
Pm 2.266 -0.562 1.025
Pm 0.169 2.370 0.926
Sm -1.153 -0.752 2.136
Tm 1.282 1.055 4.087
CELL_PARAMETERS angstrom
-2.307 -1.505 4.272
4.532 -1.125 2.051
0.338 4.740 1.852
! - density (Mg/m³) = 7.65
! - energy of formation (meV/atom) = 17
! - relative energy among the computed polymorphs (eV per formula unit) = 0.00
! - final energy (Ha/atom) = -0.1711



# 3
! Pm3Sm5Tm3 | Alexandria | PBE | relaxed; values from VASP
&SYSTEM
  ibrav = 0, nat = 11, ntyp = 3
/
ATOMIC_SPECIES
Pm 145.00 Pm.upf
Tm 168.93 Tm.upf
Sm 150.36 Sm.upf
ATOMIC_POSITIONS angstrom
Pm -1.476 -3.635 3.847
Pm 4.269 -1.064 -3.291
Pm 2.147 -3.611 0.428
Tm -2.670 -3.601 0.690
Tm 1.075 -1.925 -3.964
Tm 1.411 -6.477 -1.197
Sm 2.455 -4.628 -3.430
Sm 3.795 -2.603 -6.061
Sm -0.931 -6.143 0.778
Sm -0.369 -3.484 -1.552
Sm -3.610 -5.916 3.141
CELL_PARAMETERS angstrom
-3.417 -2.463 -3.637
7.550 -1.881 -5.820
-2.609 -6.428 6.804
! - density (Mg/m³) = 6.18
! - energy of formation (meV/atom) = 762
! - relative energy among the computed polymorphs (eV per formula unit) = 4.73
! - final energy (Ha/atom) = -0.1432



# 4
! PmSm4Tm5 | Alexandria | PBE | relaxed; values from VASP
&SYSTEM
  ibrav = 0, nat = 10, ntyp = 3
/
ATOMIC_SPECIES
Tm 168.93 Tm.upf
Sm 150.36 Sm.upf
Pm 145.00 Pm.upf
ATOMIC_POSITIONS angstrom
Tm -3.040 2.850 -0.906
Tm -11.357 0.775 -1.959
Tm -8.096 -1.576 -5.623
Tm -2.925 -0.354 -4.457
Tm -6.186 1.997 -0.793
Sm -8.078 -0.371 -2.016
Sm -6.241 0.828 -4.411
Sm -10.055 1.263 -4.917
Sm -4.265 -0.806 -1.510
Pm -0.986 0.924 -0.294
CELL_PARAMETERS angstrom
-4.444 4.167 -1.324
-3.049 -0.888 -7.236
-7.247 -2.428 2.008
! - density (Mg/m³) = 8.04
! - energy of formation (meV/atom) = 294
! - relative energy among the computed polymorphs (eV per formula unit) = 0.96
! - final energy (Ha/atom) = -0.1582



Please write out number 1 again, unchanged.
! Pm12SmTm7 | Alexandria | PBE | relaxed; values from VASP
&SYSTEM
  ibrav = 0, nat = 20, ntyp = 3
/
ATOMIC_SPECIES
Pm 145.00 Pm.upf
Tm 168.93 Tm.upf
Sm 150.36 Sm.upf
ATOMIC_POSITIONS angstrom
Pm 4.428 4.048 6.239
Pm -1.278 5.742 -1.117
Pm 4.636 3.463 1.080
Pm 1.488 6.333 -4.032
Pm 0.546 9.783 1.579
Pm 0.134 1.700 5.747
Pm -1.485 6.326 4.042
Pm 3.016 8.090 -0.625
Pm 1.279 5.748 1.121
Pm 2.604 0.006 3.543
Pm 1.663 3.457 9.154
Pm 1.871 4.041 4.002
Tm 4.764 2.387 9.146
Tm -2.182 9.784 3.402
Tm 1.616 7.396 4.034
Tm 1.535 2.393 1.088
Tm -1.614 7.402 -4.024
Tm 5.332 0.006 1.721
Tm 3.017 0.000 -0.621
Sm 0.000 0.000 0.000
CELL_PARAMETERS angstrom
6.033 0.000 -1.242
-3.151 9.790 -5.122
0.268 0.000 11.486
! - density (Mg/m³) = 7.49
! - energy of formation (meV/atom) = 258
! - relative energy among the computed polymorphs (eV per formula unit) = 3.13
! - final energy (Ha/atom) = -0.1615